No. 1
## NbHRu2Rh (PBE)

Data for a relaxed structure of NbHRu2Rh.

Geometry as POSCAR:
```
NbHRu2Rh
1.0
3.905 0.000 0.000
0.000 3.905 0.000
0.000 0.000 4.045
Nb H Ru Rh
1 1 2 1
direct
0.000 0.000 0.000 Nb
0.000 0.000 0.500 H
0.000 0.500 0.500 Ru
0.500 0.000 0.500 Ru
0.500 0.500 0.000 Rh
```

Calculated values
Final energy ... -8.0841 eV per atom
M_tot ... 0.000 Bohr magnetons per cell
Space-group type ... No. 123
DOS at the Fermi energy ... 3.27 states/eV/cell

No. 2
## NbHRuRh2 (PBE)

Data for a relaxed structure of NbHRuRh2.

Geometry as POSCAR:
```
NbHRuRh2
1.0
3.918 0.000 0.000
0.000 3.918 0.000
0.000 0.000 4.009
Nb H Ru Rh
1 1 1 2
direct
0.000 0.000 0.000 Nb
0.500 0.500 0.500 H
0.500 0.500 0.000 Ru
0.000 0.500 0.500 Rh
0.500 0.000 0.500 Rh
```

Calculated values
Final energy ... -7.8310 eV per atom
M_tot ... 0.000 Bohr magnetons per cell
Space-group type ... No. 123
DOS at the Fermi energy ... 2.25 states/eV/cell

No. 3
## NbHRuRh2 (PBE)

Data for a relaxed structure of NbHRuRh2.

Geometry as POSCAR:
```
NbHRuRh2
1.0
3.874 0.000 0.000
0.000 3.874 0.000
0.000 0.000 4.119
Nb H Ru Rh
1 1 1 2
direct
0.000 0.000 0.000 Nb
0.000 0.000 0.500 H
0.500 0.500 0.000 Ru
0.000 0.500 0.500 Rh
0.500 0.000 0.500 Rh
```

Calculated values
Final energy ... -7.7551 eV per atom
M_tot ... 0.000 Bohr magnetons per cell
Space-group type ... No. 123
DOS at the Fermi energy ... 2.91 states/eV/cell